No. 1
A geometry-optimized LaV2GeSb structure. Source: Alexandria via LeMat-Bulk, functional GGA-PBE.

Computed properties:
The value obtained for the total DFT energy (no corrections) is -4.7184 eV per atom. As for the formation energy from raw total energies: 1.663 eV/atom. The value obtained for the mass density is 5.45 g cm⁻³.

```
data_LaV2GeSb
_chemical_formula_sum 'La1 V2 Ge1 Sb1'
_cell_length_a 4.675
_cell_length_b 4.675
_cell_length_c 6.073
_cell_angle_alpha 90.00
_cell_angle_beta 90.00
_cell_angle_gamma 90.00
_symmetry_space_group_name_H-M 'P 4/m m m'
_symmetry_Int_Tables_number 123
_symmetry_space_group_name_Hall '-P 4 2'
loop_
_atom_site_label
_atom_site_fract_x
_atom_site_fract_y
_atom_site_fract_z
_atom_site_occupancy
La1 0.000 0.000 0.000 1
V1 0.000 0.500 0.000 1
Ge1 0.500 0.500 0.500 1
Sb1 0.000 0.000 0.500 1
```


No. 2
A geometry-optimized Sr2Np3O10 structure. Source: Alexandria via LeMat-Bulk, functional GGA-PBE.

Computed properties:
The value obtained for the total DFT energy (no corrections) is -9.0128 eV per atom. As for the formation energy from raw total energies: -2.895 eV/atom. The value obtained for the mass density is 7.16 g cm⁻³.

```
data_Sr2Np3O10
_chemical_formula_sum 'Sr8 Np12 O40'
_cell_length_a 19.212
_cell_length_b 6.696
_cell_length_c 8.387
_cell_angle_alpha 90.00
_cell_angle_beta 115.87
_cell_angle_gamma 90.00
_symmetry_space_group_name_H-M 'C 1 2/m 1'
_symmetry_Int_Tables_number 12
_symmetry_space_group_name_Hall '-C 2y'
loop_
_atom_site_label
_atom_site_fract_x
_atom_site_fract_y
_atom_site_fract_z
_atom_site_occupancy
Sr1 0.100 0.000 0.447 1
Sr2 0.203 0.000 0.029 1
Np1 0.000 0.245 0.000 1
Np2 0.083 0.500 0.687 1
Np3 0.187 0.500 0.345 1
O1 0.000 0.283 0.500 1
O2 0.020 0.000 0.858 1
O3 0.024 0.500 0.869 1
O4 0.112 0.235 0.187 1
O5 0.127 0.500 0.485 1
O6 0.159 0.295 0.825 1
O7 0.250 0.000 0.776 1
O8 0.250 0.250 0.500 1
```


No. 3
A geometry-optimized Li2CdCl structure. Source: Alexandria via LeMat-Bulk, functional GGA-PBE.

Computed properties:
The value obtained for the total DFT energy (no corrections) is -2.5196 eV per atom. The value obtained for the energy above the most stable polymorph in this dataset is 0.0 meV/atom. As for the formation energy from raw total energies: -0.872 eV/atom. The value obtained for the mass density is 3.40 g cm⁻³.

```
data_Li2CdCl
_chemical_formula_sum 'Li4 Cd2 Cl2'
_cell_length_a 5.869
_cell_length_b 3.391
_cell_length_c 8.166
_cell_angle_alpha 90.00
_cell_angle_beta 103.85
_cell_angle_gamma 90.00
_symmetry_space_group_name_H-M 'C 1 2/m 1'
_symmetry_Int_Tables_number 12
_symmetry_space_group_name_Hall '-C 2y'
loop_
_atom_site_label
_atom_site_fract_x
_atom_site_fract_y
_atom_site_fract_z
_atom_site_occupancy
Li1 0.230 0.000 0.193 1
Cd1 0.000 0.000 0.500 1
Cl1 0.000 0.500 0.000 1
```


No. 4
A geometry-optimized YNi2P structure. Source: Alexandria via LeMat-Bulk, functional GGA-PBE.

Computed properties:
The value obtained for the total DFT energy (no corrections) is -6.4554 eV per atom. The energy of formation comes out at -58 kJ per mole of atoms. The value obtained for the mass density is 5.45 g cm⁻³.

```
data_YNi2P
_chemical_formula_sum 'Y4 Ni8 P4'
_cell_length_a 4.415
_cell_length_b 4.415
_cell_length_c 14.841
_cell_angle_alpha 90.00
_cell_angle_beta 90.00
_cell_angle_gamma 90.00
_symmetry_space_group_name_H-M 'I -4 2 d'
_symmetry_Int_Tables_number 122
_symmetry_space_group_name_Hall 'I -4 2bw'
loop_
_atom_site_label
_atom_site_fract_x
_atom_site_fract_y
_atom_site_fract_z
_atom_site_occupancy
Y1 0.000 0.000 0.000 1
Ni1 0.055 0.250 0.625 1
P1 0.000 0.000 0.500 1
```


No. 5
A geometry-optimized Pa2Ni15Sn2 structure. Source: Alexandria via LeMat-Bulk, functional GGA-PBE.

Computed properties:
The value obtained for the total DFT energy (no corrections) is -6.1107 eV per atom. The energy of formation comes out at -12 kJ per mole of atoms. The value obtained for the mass density is 10.05 g cm⁻³.

```
data_Pa2Ni15Sn2
_chemical_formula_sum 'Pa6 Ni45 Sn6'
_cell_length_a 8.4168
_cell_length_b 8.4168
_cell_length_c 12.7583
_cell_angle_alpha 90.00
_cell_angle_beta 90.00
_cell_angle_gamma 120.00
_symmetry_space_group_name_H-M 'R -3 m'
_symmetry_Int_Tables_number 166
_symmetry_space_group_name_Hall '-R 3 2"'
loop_
_atom_site_label
_atom_site_fract_x
_atom_site_fract_y
_atom_site_fract_z
_atom_site_occupancy
Pa1 0.0000 0.0000 0.1196 1
Ni1 0.0000 0.3222 0.0000 1
Ni2 0.0000 0.5000 0.5000 1
Ni3 0.0090 0.5045 0.1633 1
Sn1 0.0000 0.0000 0.3735 1
```


No. 6
A geometry-optimized LaSmScTe3 structure. Source: Alexandria via LeMat-Bulk, functional GGA-PBE.

Computed properties:
The value obtained for the total DFT energy (no corrections) is -5.5260 eV per atom. As for the formation energy from raw total energies: -1.292 eV/atom. The value obtained for the mass density is 6.26 g cm⁻³.

```
data_LaSmScTe3
_chemical_formula_sum 'La2 Sm2 Sc2 Te6'
_cell_length_a 9.091
_cell_length_b 4.367
_cell_length_c 9.943
_cell_angle_alpha 90.00
_cell_angle_beta 105.41
_cell_angle_gamma 90.00
_symmetry_space_group_name_H-M 'P 1 21/m 1'
_symmetry_Int_Tables_number 11
_symmetry_space_group_name_Hall '-P 2yb'
loop_
_atom_site_label
_atom_site_fract_x
_atom_site_fract_y
_atom_site_fract_z
_atom_site_occupancy
La1 0.180 0.250 0.230 1
Sm1 0.339 0.750 0.850 1
Sc1 0.093 0.250 0.597 1
Te1 0.097 0.250 0.885 1
Te2 0.247 0.750 0.500 1
Te3 0.427 0.750 0.180 1
```


No. 7
A geometry-optimized YHoW4 structure. Source: Alexandria via LeMat-Bulk, functional GGA-PBE.

Computed properties:
The value obtained for the total DFT energy (no corrections) is -10.3340 eV per atom. The energy of formation comes out at 14 kJ per mole of atoms. The value obtained for the mass density is 13.65 g cm⁻³.

```
data_YHoW4
_chemical_formula_sum 'Y4 Ho4 W16'
_cell_length_a 7.838
_cell_length_b 7.838
_cell_length_c 7.838
_cell_angle_alpha 90.00
_cell_angle_beta 90.00
_cell_angle_gamma 90.00
_symmetry_space_group_name_H-M 'F -4 3 m'
_symmetry_Int_Tables_number 216
_symmetry_space_group_name_Hall 'F -4 2 3'
loop_
_atom_site_label
_atom_site_fract_x
_atom_site_fract_y
_atom_site_fract_z
_atom_site_occupancy
Y1 0.000 0.000 0.000 1
Ho1 0.250 0.250 0.750 1
W1 0.125 0.125 0.375 1
```


No. 8
A geometry-optimized Y2GaPb structure. Source: Alexandria via LeMat-Bulk, functional GGA-PBE.

Computed properties:
The value obtained for the total DFT energy (no corrections) is -5.1782 eV per atom. The energy of formation comes out at -25 kJ per mole of atoms. The value obtained for the mass density is 6.71 g cm⁻³.

```
data_Y2GaPb
_chemical_formula_sum 'Y8 Ga4 Pb4'
_cell_length_a 8.115
_cell_length_b 8.115
_cell_length_c 6.835
_cell_angle_alpha 90.00
_cell_angle_beta 90.00
_cell_angle_gamma 90.00
_symmetry_space_group_name_H-M 'I -4 2 d'
_symmetry_Int_Tables_number 122
_symmetry_space_group_name_Hall 'I -4 2bw'
loop_
_atom_site_label
_atom_site_fract_x
_atom_site_fract_y
_atom_site_fract_z
_atom_site_occupancy
Y1 0.231 0.250 0.125 1
Ga1 0.000 0.000 0.000 1
Pb1 0.000 0.000 0.500 1
```